Entry 1:
Density functional theory data (PBE) for a relaxed structure of PuNp3Tl4Se8.

Summary:
**Magnetic moment**: 17.00 μB/f.u.
**SG**: R-3m
**DFT total energy**: -105.9 eV/f.u.
**Raw formation energy**: -1489 kJ/mol of formula units
**Crystal system**: trigonal

Unit cell a=9.1483 b=9.1483 c=9.1483 alpha=55.02 beta=55.02 gamma=55.02
Last column: nearest neighbours and their distance in Å.
Element x y z (fractional)
Pu 0.0000 0.0000 0.0000  6 Se 2.92
Np 0.0000 0.5000 0.5000  6 Se 2.89-2.90
Np 0.5000 0.0000 0.5000  6 Se 2.89-2.90
Np 0.5000 0.5000 0.0000  6 Se 2.89-2.90
Tl 0.0000 0.0000 0.5000  6 Se 3.35-3.36
Tl 0.0000 0.5000 0.0000  6 Se 3.35-3.36
Tl 0.5000 0.0000 0.0000  6 Se 3.35-3.36
Tl 0.5000 0.5000 0.5000  6 Se 3.34
Se 0.2358 0.2358 0.7312  2 Np 2.89, 1 Pu 2.92
Se 0.2358 0.7312 0.2358  2 Np 2.89, 1 Pu 2.92
Se 0.2657 0.2657 0.2657  3 Np 2.90
Se 0.2688 0.7642 0.7642  2 Np 2.89, 1 Pu 2.92
Se 0.7312 0.2358 0.2358  2 Np 2.89, 1 Pu 2.92
Se 0.7343 0.7343 0.7343  3 Np 2.90
Se 0.7642 0.2688 0.7642  2 Np 2.89, 1 Pu 2.92
Se 0.7642 0.7642 0.2688  2 Np 2.89, 1 Pu 2.92

Entry 2:
Density functional theory data (PBE) for a relaxed structure of PmCu2RuO8.

Summary:
**Magnetic moment**: 0.55 μB/f.u.
**SG**: I-4m2
**DFT total energy**: -72.1 eV/f.u.
**Raw formation energy**: -988 kJ/mol of formula units
**Crystal system**: tetragonal

Unit cell a=5.8134 b=5.8134 c=5.8134 alpha=107.95 beta=107.95 gamma=112.56
Last column: nearest neighbours and their distance in Å.
Element x y z (fractional)
Pm 0.0000 0.0000 0.0000  8 O 2.35-2.42
Cu 0.5000 0.5000 0.0000  4 O 1.91
Cu 0.7500 0.2500 0.5000  4 O 1.85
Ru 0.2500 0.7500 0.5000  8 O 2.02-2.03
O 0.3024 0.0938 0.7914  1 Cu 1.91, 1 Ru 2.02
O 0.3024 0.5111 0.2086  1 Cu 1.91, 1 Ru 2.02
O 0.3594 0.0168 0.3426  1 Cu 1.85, 1 Ru 2.03
O 0.4889 0.6976 0.7914  1 Cu 1.91, 1 Ru 2.02
O 0.6742 0.0168 0.6574  1 Cu 1.85, 1 Ru 2.03
O 0.9062 0.6976 0.2086  1 Cu 1.91, 1 Ru 2.02
O 0.9832 0.3258 0.3426  1 Cu 1.85, 1 Ru 2.03
O 0.9832 0.6406 0.6574  1 Cu 1.85, 1 Ru 2.03

Entry 3:
Density functional theory data (PBE) for a relaxed structure of MgSi.

Summary:
**Magnetic moment**: 0.00 μB/f.u.
**SG**: P2_1/m
**DFT total energy**: -6.8 eV/f.u.
**Raw formation energy**: 17 kJ/mol of formula units
**Crystal system**: monoclinic

Unit cell a=5.3635 b=4.2868 c=9.7467 alpha=90.00 beta=92.01 gamma=90.00
Last column: nearest neighbours and their distance in Å.
Element x y z (fractional)
Mg 0.0914 0.2500 0.2678  7 Si 2.83-3.05, 2 Mg 3.17
Mg 0.1563 0.2500 0.9341  6 Si 2.67-2.83
Mg 0.3966 0.2500 0.6248  7 Si 2.80-3.06
Mg 0.6034 0.7500 0.3752  7 Si 2.80-3.06
Mg 0.8437 0.7500 0.0659  6 Si 2.67-2.83
Mg 0.9086 0.7500 0.7322  7 Si 2.83-3.05, 2 Mg 3.17
Si 0.1103 0.7500 0.4599  2 Si 2.58, 4 Mg 2.80-2.85
Si 0.3408 0.7500 0.0979  3 Si 2.56-2.59, 4 Mg 2.67-2.83
Si 0.4232 0.7500 0.8381  3 Si 2.56-2.59, 3 Mg 2.76-2.83
Si 0.5768 0.2500 0.1619  3 Si 2.56-2.59, 3 Mg 2.76-2.83
Si 0.6592 0.2500 0.9021  3 Si 2.56-2.59, 4 Mg 2.67-2.83
Si 0.8897 0.2500 0.5401  2 Si 2.58, 4 Mg 2.80-2.85

Entry 4:
Density functional theory data (PBE) for a relaxed structure of CaScAgRh.

Summary:
**Magnetic moment**: 0.00 μB/f.u.
**SG**: F-43m
**ΔH_f (0 K)**: -9.386 kcal/mol of atoms
**DFT total energy**: -20.2 eV/f.u.
**Crystal system**: cubic

Unit cell a=4.8439 b=4.8439 c=4.8439 alpha=60.00 beta=60.00 gamma=60.00
Last column: nearest neighbours and their distance in Å.
Element x y z (fractional)
Ca 0.0000 0.0000 0.0000  4 Rh 2.97, 4 Ag 2.97
Sc 0.5000 0.5000 0.5000  4 Rh 2.97, 4 Ag 2.97
Ag 0.7500 0.7500 0.7500  4 Ca 2.97, 4 Sc 2.97
Rh 0.2500 0.2500 0.2500  4 Ca 2.97, 4 Sc 2.97

Entry 5:
Density functional theory data (PBE) for a relaxed structure of KSiMo2.

Summary:
**Magnetic moment**: 0.00 μB/f.u.
**SG**: Cm
**DFT total energy**: -26.1 eV/f.u.
**Raw formation energy**: 202 kJ/mol of formula units
**Crystal system**: monoclinic

Unit cell a=4.4468 b=4.4468 c=7.3691 alpha=97.09 beta=97.09 gamma=41.43
Last column: nearest neighbours and their distance in Å.
Element x y z (fractional)
K 0.0000 0.0000 0.0000  2 K 3.15, 3 Si 3.48-3.49
Si 0.7558 0.7558 0.3492  5 Mo 2.50-2.60
Mo 0.2143 0.2143 0.6164  3 Mo 2.54-2.65, 2 Si 2.58
Mo 0.4921 0.4921 0.4779  3 Si 2.50-2.60, 3 Mo 2.54-2.65

Entry 6:
Density functional theory data (PBE) for a relaxed structure of LaMo.

Summary:
**Magnetic moment**: 0.00 μB/f.u.
**SG**: Fd-3m
**ΔE to the lowest computed polymorph**: 0.368 eV per atom
**ΔH_f (0 K)**: 14.036 kcal/mol of atoms
**DFT total energy**: -14.5 eV/f.u.
**Crystal system**: cubic

Unit cell a=4.9913 b=4.9913 c=4.9913 alpha=60.00 beta=60.00 gamma=60.00
Last column: nearest neighbours and their distance in Å.
Element x y z (fractional)
La 0.1250 0.1250 0.1250  4 Mo 3.06, 4 La 3.06
La 0.8750 0.8750 0.8750  4 Mo 3.06, 4 La 3.06
Mo 0.3750 0.3750 0.3750  4 La 3.06, 4 Mo 3.06
Mo 0.6250 0.6250 0.6250  4 Mo 3.06, 4 La 3.06

Entry 7:
Density functional theory data (PBE) for a relaxed structure of Cs2AlTcHg.

Summary:
**Magnetic moment**: 0.00 μB/f.u.
**SG**: P4/mmm
**ΔH_f (0 K)**: 16.460 kcal/mol of atoms
**DFT total energy**: -12.5 eV/f.u.
**Crystal system**: tetragonal

Unit cell a=6.1893 b=6.1893 c=4.8868 alpha=90.00 beta=90.00 gamma=90.00
Last column: nearest neighbours and their distance in Å.
Element x y z (fractional)
Cs 0.0000 0.5000 0.0000  2 Tc 3.09
Cs 0.5000 0.0000 0.0000  2 Tc 3.09
Al 0.0000 0.0000 0.5000  2 Tc 2.44
Tc 0.0000 0.0000 0.0000  2 Al 2.44
Hg 0.5000 0.5000 0.5000  8 Cs 3.94, 4 Al 4.38

Entry 8:
Density functional theory data (PBE) for a relaxed structure of YHoAlFe.

Summary:
**Magnetic moment**: 1.43 μB/f.u.
**SG**: F-43m
**ΔH_f (0 K)**: -1.846 kcal/mol of atoms
**DFT total energy**: -23.6 eV/f.u.
**Crystal system**: cubic

Unit cell a=4.9740 b=4.9740 c=4.9740 alpha=60.00 beta=60.00 gamma=60.00
Last column: nearest neighbours and their distance in Å.
Element x y z (fractional)
Y 0.0000 0.0000 0.0000  4 Fe 3.05, 4 Al 3.05
Ho 0.5000 0.5000 0.5000  4 Fe 3.05, 4 Al 3.05
Al 0.2500 0.2500 0.2500  4 Ho 3.05, 4 Y 3.05
Fe 0.7500 0.7500 0.7500  4 Ho 3.05, 4 Y 3.05

Entry 9:
Density functional theory data (PBE) for a relaxed structure of CsTlHSeF.

Summary:
**Magnetic moment**: 0.00 μB/f.u.
**SG**: Cm
**ΔE to the lowest computed polymorph**: 0.000 eV per atom
**DFT total energy**: -17.7 eV/f.u.
**Crystal system**: monoclinic

Unit cell a=8.0515 b=8.0515 c=4.2412 alpha=92.78 beta=92.78 gamma=31.54
Last column: nearest neighbours and their distance in Å.
Element x y z (fractional)
Cs 0.0000 0.0000 0.0000  4 F 3.03-3.24
Tl 0.2957 0.2957 0.6017  1 F 2.54
H 0.6488 0.6488 0.4661  1 Se 1.49
Se 0.7014 0.7014 0.1811  1 H 1.49
F 0.4526 0.4526 0.4550  1 Tl 2.54

Entry 10:
Density functional theory data (PBE) for a relaxed structure of BaHg3Mo.

Summary:
**Magnetic moment**: 0.00 μB/f.u.
**SG**: Pm-3m
**ΔE to the lowest computed polymorph**: 0.000 eV per atom
**ΔH_f (0 K)**: 4.865 kcal/mol of atoms
**DFT total energy**: -12.6 eV/f.u.
**Crystal system**: cubic

Unit cell a=5.3634 b=5.3634 c=5.3634 alpha=90.00 beta=90.00 gamma=90.00
Last column: nearest neighbours and their distance in Å.
Element x y z (fractional)
Ba 0.0000 0.0000 0.0000  12 Hg 3.79
Hg 0.0000 0.5000 0.5000  2 Mo 2.68
Hg 0.5000 0.0000 0.5000  2 Mo 2.68
Hg 0.5000 0.5000 0.0000  2 Mo 2.68
Mo 0.5000 0.5000 0.5000  6 Hg 2.68

Entry 11:
Density functional theory data (PBE) for a relaxed structure of EuYThSc.

Summary:
**Magnetic moment**: 7.11 μB/f.u.
**SG**: F-43m
**ΔH_f (0 K)**: 4.512 kcal/mol of atoms
**DFT total energy**: -29.7 eV/f.u.
**Crystal system**: cubic

Unit cell a=5.6356 b=5.6356 c=5.6356 alpha=60.00 beta=60.00 gamma=60.00
Last column: nearest neighbours and their distance in Å.
Element x y z (fractional)
Eu 0.0000 0.0000 0.0000  4 Y 3.45, 4 Sc 3.45
Y 0.7500 0.7500 0.7500  4 Th 3.45, 4 Eu 3.45
Th 0.5000 0.5000 0.5000  4 Y 3.45, 4 Sc 3.45
Sc 0.2500 0.2500 0.2500  4 Th 3.45, 4 Eu 3.45

Entry 12:
Density functional theory data (PBE) for a relaxed structure of BaPCl.

Summary:
**Magnetic moment**: 2.00 μB/f.u.
**SG**: P3m1
**ΔE to the lowest computed polymorph**: 0.793 eV per atom
**DFT total energy**: -11.2 eV/f.u.
**Raw formation energy**: -198 kJ/mol of formula units
**Crystal system**: trigonal

Unit cell a=5.1270 b=5.1270 c=4.5999 alpha=90.00 beta=90.00 gamma=120.00
Last column: nearest neighbours and their distance in Å.
Element x y z (fractional)
Ba 0.0000 0.0000 0.0000  3 Cl 2.99
P 0.6667 0.3333 0.5389  6 Cl 3.59-3.92, 6 Ba 3.64-3.86
Cl 0.3333 0.6667 0.0985  3 Ba 2.99

Please write out number 8 again, unchanged.
Density functional theory data (PBE) for a relaxed structure of YHoAlFe.

Summary:
**Magnetic moment**: 1.43 μB/f.u.
**SG**: F-43m
**ΔH_f (0 K)**: -1.846 kcal/mol of atoms
**DFT total energy**: -23.6 eV/f.u.
**Crystal system**: cubic

Unit cell a=4.9740 b=4.9740 c=4.9740 alpha=60.00 beta=60.00 gamma=60.00
Last column: nearest neighbours and their distance in Å.
Element x y z (fractional)
Y 0.0000 0.0000 0.0000  4 Fe 3.05, 4 Al 3.05
Ho 0.5000 0.5000 0.5000  4 Fe 3.05, 4 Al 3.05
Al 0.2500 0.2500 0.2500  4 Ho 3.05, 4 Y 3.05
Fe 0.7500 0.7500 0.7500  4 Ho 3.05, 4 Y 3.05

Q: Which value of DFT total energy does entry 8 give?
A: -23.6 eV/f.u.